The following is a DFT calculation (GGA-PBE) of crystalline LaTbNdSe3 at its relaxed geometry.

Cell: 7.325 4.090 10.980 Å, 90.00 102.77 90.00°
Atoms (fractional coordinates):
La1 0.155 0.250 0.198
La2 0.845 0.750 0.802
Tb1 0.268 0.750 0.558
Tb2 0.732 0.250 0.442
Nd1 0.378 0.250 0.868
Nd2 0.622 0.750 0.132
Se1 0.046 0.250 0.656
Se2 0.215 0.750 0.004
Se3 0.446 0.750 0.348
Se4 0.554 0.250 0.652
Se5 0.785 0.250 0.996
Se6 0.954 0.750 0.344

Properties
Spin magnetization   0.0 μB/f.u.
Formation energy without anion corrections   -1806 meV per atom
VASP energy   -5.9355 eV/atom

=====

The following is a DFT calculation (GGA-PBE) of crystalline LaTb3Nd2Se6 at its relaxed geometry.

Cell: 9.369 9.369 8.436 Å, 104.09 104.09 25.54°
Atoms (fractional coordinates):
La1 0.000 0.000 0.000
Tb1 0.000 0.000 0.500
Tb2 0.334 0.334 0.167
Tb3 0.666 0.666 0.833
Nd1 0.332 0.332 0.665
Nd2 0.668 0.668 0.335
Se1 0.164 0.164 0.591
Se2 0.171 0.171 0.077
Se3 0.498 0.498 0.260
Se4 0.502 0.502 0.740
Se5 0.829 0.829 0.923
Se6 0.836 0.836 0.409

Properties
Spin magnetization   0.0 μB/f.u.
Formation energy without anion corrections   -1837 meV per atom
VASP energy   -5.9417 eV/atom

=====

The following is a DFT calculation (GGA-PBE) of crystalline La2TbNdSe5 at its relaxed geometry.

Cell: 9.078 9.078 14.074 Å, 90.00 90.00 153.43°
Atoms (fractional coordinates):
La1 0.083 0.917 0.500
La2 0.135 0.865 0.166
La3 0.865 0.135 0.666
La4 0.917 0.083 0.000
Tb1 0.233 0.767 0.898
Tb2 0.767 0.233 0.398
Nd1 0.445 0.555 0.309
Nd2 0.555 0.445 0.809
Se1 0.079 0.921 0.946
Se2 0.254 0.746 0.544
Se3 0.289 0.711 0.258
Se4 0.387 0.613 0.842
Se5 0.496 0.504 0.620
Se6 0.504 0.496 0.120
Se7 0.613 0.387 0.342
Se8 0.711 0.289 0.758
Se9 0.746 0.254 0.044
Se10 0.921 0.079 0.446

Properties
Spin magnetization   0.0 μB/f.u.
Formation energy without anion corrections   -1830 meV per atom
VASP energy   -5.9048 eV/atom

=====

The following is a DFT calculation (GGA-PBE) of crystalline La3TbNd2Se6 at its relaxed geometry.

Cell: 7.365 7.365 7.358 Å, 99.60 99.60 120.14°
Atoms (fractional coordinates):
La1 0.000 0.000 0.000
La2 0.330 0.670 0.000
La3 0.670 0.330 0.000
Tb1 0.500 0.500 0.500
Nd1 0.167 0.833 0.500
Nd2 0.833 0.167 0.500
Se1 0.094 0.420 0.260
Se2 0.255 0.255 0.743
Se3 0.420 0.094 0.260
Se4 0.580 0.906 0.740
Se5 0.745 0.745 0.257
Se6 0.906 0.580 0.740

Properties
Spin magnetization   0.0 μB/f.u.
Formation energy without anion corrections   -1915 meV per atom
VASP energy   -6.0693 eV/atom

=====

The following is a DFT calculation (GGA-PBE) of crystalline La2Tb3NdSe6 at its relaxed geometry.

Cell: 9.398 9.398 8.468 Å, 104.05 104.05 25.53°
Atoms (fractional coordinates):
La1 0.166 0.166 0.332
La2 0.834 0.834 0.668
Tb1 0.167 0.167 0.833
Tb2 0.500 0.500 0.500
Tb3 0.833 0.833 0.167
Nd1 0.500 0.500 0.000
Se1 0.004 0.004 0.744
Se2 0.331 0.331 0.928
Se3 0.337 0.337 0.408
Se4 0.663 0.663 0.592
Se5 0.669 0.669 0.072
Se6 0.996 0.996 0.256

Properties
Spin magnetization   0.0 μB/f.u.
Formation energy without anion corrections   -1864 meV per atom
VASP energy   -5.9827 eV/atom

=====

The following is a DFT calculation (GGA-PBE) of crystalline LaNdTeSe at its relaxed geometry.

Cell: 7.683 7.683 7.683 Å, 33.23 33.23 33.23°
Atoms (fractional coordinates):
La1 0.000 0.000 0.000
Nd1 0.520 0.520 0.520
Te1 0.761 0.761 0.761
Se1 0.258 0.258 0.258

Properties
Spin magnetization   0.0 μB/f.u.
Formation energy without anion corrections   -1724 meV per atom
VASP energy   -5.8046 eV/atom